(1)
First-principles (PBE) data for an optimized crystal structure of CdTc2P, as listed in Alexandria.

Properties
DFT formation energy, kJ per mole of atoms: 5.8
Crystal system: trigonal
DOS at the Fermi energy, states/eV per cell: 3.73
M_tot, Bohr magnetons per cell: 0.002
Electronic total energy, eV per cell: -26.8
Volume, Å³/cell: 70.61

Geometry as POSCAR:
```
CdTc2P
1.0
-0.4357 3.4367 5.8461
-0.3585 0.0170 6.7859
2.6600 1.7128 6.0139
Cd Tc P
1 2 1
Direct
0.0000 0.0000 0.0000
0.7803 0.7803 0.7803
0.2197 0.2197 0.2197
0.5000 0.5000 0.5000
```

(2)
First-principles (PBE) data for an optimized crystal structure of CdTc2P, as listed in Alexandria.

Properties
DFT formation energy, kJ per mole of atoms: 53.8
Crystal system: monoclinic
DOS at the Fermi energy, states/eV per cell: 4.25
M_tot, Bohr magnetons per cell: 0.001
Electronic total energy, eV per cell: -24.8
Volume, Å³/cell: 62.69

Geometry as POSCAR:
```
CdTc2P
1.0
-1.0795 -4.3611 -2.4696
1.2928 3.8228 -3.1621
2.5339 -0.8258 -1.0792
Cd Tc P
1 2 1
Direct
0.0000 0.0000 0.5000
0.0000 0.5000 0.0000
0.5000 0.0000 0.0000
0.5000 0.5000 0.5000
```

(3)
First-principles (PBE) data for an optimized crystal structure of Cd3TcP, as listed in Alexandria.

Properties
DFT formation energy, kJ per mole of atoms: 121.3
Crystal system: cubic
DOS at the Fermi energy, states/eV per cell: 3.57
M_tot, Bohr magnetons per cell: 2.600
Electronic total energy, eV per cell: -12.2
Volume, Å³/cell: 142.78

Geometry as POSCAR:
```
Cd3TcP
1.0
-3.7822 -0.5360 3.5673
0.8676 -5.1521 0.1458
3.5015 0.6976 3.8172
P Tc Cd
1 1 3
Direct
0.5000 0.5000 0.5000
0.0000 0.0000 0.0000
0.0000 0.5000 0.0000
0.0000 0.0000 0.5000
0.5000 0.0000 0.0000
```

(4)
First-principles (PBE) data for an optimized crystal structure of CdTc2P, as listed in Alexandria.

Properties
DFT formation energy, kJ per mole of atoms: 2.3
Crystal system: orthorhombic
DOS at the Fermi energy, states/eV per cell: 3.93
M_tot, Bohr magnetons per cell: 0.665
Electronic total energy, eV per cell: -27.0
Volume, Å³/cell: 67.24

Geometry as POSCAR:
```
CdTc2P
1.0
4.1958 0.7424 6.0117
1.1305 3.8689 6.1685
-4.1259 -3.5126 -4.9935
Cd Tc P
1 2 1
Direct
0.5556 0.5556 0.0000
0.9136 0.9136 0.0000
0.2341 0.7341 0.5000
0.7967 0.2967 0.5000
```

(5)
First-principles (PBE) data for an optimized crystal structure of ZnCdTcP2, as listed in Alexandria.

Properties
DFT formation energy, kJ per mole of atoms: 160.3
Crystal system: tetragonal
DOS at the Fermi energy, states/eV per cell: 4.40
M_tot, Bohr magnetons per cell: 3.253
Electronic total energy, eV per cell: -15.1
Volume, Å³/cell: 123.92

Geometry as POSCAR:
```
ZnCdTcP2
1.0
4.8373 0.0000 0.0000
0.0000 5.2960 0.0000
0.0000 0.0000 4.8373
P Zn Tc Cd
2 1 1 1
Direct
0.0000 0.0000 0.5000
0.5000 0.0000 0.0000
0.5000 0.5000 0.5000
0.0000 0.5000 0.0000
0.0000 0.0000 0.0000
```

(6)
First-principles (PBE) data for an optimized crystal structure of CdTe2P, as listed in Alexandria.

Properties
Crystal system: orthorhombic
DOS at the Fermi energy, states/eV per cell: 1.58
M_tot, Bohr magnetons per cell: 0.000
Electronic total energy, eV per cell: -12.5
Formation energy without anion corrections, meV/atom: 21
Volume, Å³/cell: 108.79

Geometry as POSCAR:
```
CdTe2P
1.0
-1.0146 2.8045 2.8635
-4.1226 -0.7159 -0.7596
-0.0282 -4.4256 4.3244
Cd P Te
1 1 2
Direct
0.0000 0.0000 0.3441
0.5000 0.5000 0.8448
0.0000 0.0000 0.8750
0.5000 0.5000 0.4361
```

(7)
First-principles (PBE) data for an optimized crystal structure of CdTeP2, as listed in Alexandria.

Properties
Crystal system: cubic
DOS at the Fermi energy, states/eV per cell: 1.74
M_tot, Bohr magnetons per cell: 0.000
Electronic total energy, eV per cell: -12.3
Formation energy without anion corrections, meV/atom: 641
Volume, Å³/cell: 81.87

Geometry as POSCAR:
```
CdTeP2
1.0
-2.6741 -2.2957 3.3666
1.8489 -0.8261 4.4333
-1.7058 2.4567 3.8483
Cd P Te
1 2 1
Direct
0.5000 0.5000 0.5000
0.0000 0.0000 0.0000
0.2500 0.2500 0.2500
0.7500 0.7500 0.7500
```

(8)
First-principles (PBE) data for an optimized crystal structure of CdTeP4, as listed in Alexandria.

Properties
Crystal system: cubic
DOS at the Fermi energy, states/eV per cell: 3.22
M_tot, Bohr magnetons per cell: 0.000
Electronic total energy, eV per cell: -23.2
Formation energy without anion corrections, meV/atom: 409
Volume, Å³/cell: 157.44

Geometry as POSCAR:
```
CdTeP4
1.0
0.0000 4.2858 4.2858
4.2858 0.0000 4.2858
4.2858 4.2858 0.0000
Cd Te P
1 1 4
Direct
0.0000 0.0000 0.0000
0.2500 0.2500 0.2500
0.6587 0.6587 0.0240
0.6587 0.0240 0.6587
0.6587 0.6587 0.6587
0.0240 0.6587 0.6587
```

(9)
First-principles (PBE) data for an optimized crystal structure of CdTe2P, as listed in Alexandria.

Properties
Crystal system: orthorhombic
DOS at the Fermi energy, states/eV per cell: 2.78
M_tot, Bohr magnetons per cell: 0.000
Electronic total energy, eV per cell: -11.2
Formation energy without anion corrections, meV/atom: 358
Volume, Å³/cell: 103.86

Geometry as POSCAR:
```
CdTe2P
1.0
3.4617 -0.1033 0.0000
-1.3360 3.1952 0.0000
0.0000 0.0000 9.5084
Cd P Te
1 1 2
Direct
0.0000 0.0000 0.5313
0.5000 0.5000 0.7406
0.0000 0.0000 0.9414
0.5000 0.5000 0.2867
```

(10)
First-principles (PBE) data for an optimized crystal structure of CdTe2P, as listed in Alexandria.

Properties
Crystal system: tetragonal
DOS at the Fermi energy, states/eV per cell: 2.52
M_tot, Bohr magnetons per cell: 0.000
Electronic total energy, eV per cell: -24.1
Formation energy without anion corrections, meV/atom: 140
Volume, Å³/cell: 265.95

Geometry as POSCAR:
```
CdTe2P
1.0
5.9437 0.0000 0.0000
0.0000 5.9437 0.0000
2.9719 2.9719 7.5279
P Te Cd
2 4 2
Direct
0.5000 0.5000 0.0000
0.2500 0.7500 0.5000
0.5876 0.1250 0.2500
0.1624 0.6250 0.2500
0.3750 0.4124 0.7500
0.8750 0.8376 0.7500
0.0000 0.0000 0.0000
0.7500 0.2500 0.5000
```

(11)
First-principles (PBE) data for an optimized crystal structure of CdTe2P, as listed in Alexandria.

Properties
Crystal system: orthorhombic
DOS at the Fermi energy, states/eV per cell: 2.03
M_tot, Bohr magnetons per cell: 0.000
Electronic total energy, eV per cell: -11.6
Formation energy without anion corrections, meV/atom: 242
Volume, Å³/cell: 105.68

Geometry as POSCAR:
```
CdTe2P
1.0
-5.7247 -4.9607 0.3803
-2.6509 -5.8343 -4.0569
5.7066 3.7030 3.3538
Cd P Te
1 1 2
Direct
0.4566 0.4566 0.0000
0.2103 0.7103 0.5000
0.0523 0.0523 0.0000
0.7808 0.2808 0.5000
```

(12)
First-principles (PBE) data for an optimized crystal structure of CdTeP2, as listed in Alexandria.

Properties
Crystal system: orthorhombic
DOS at the Fermi energy, states/eV per cell: 2.36
M_tot, Bohr magnetons per cell: 0.000
Electronic total energy, eV per cell: -13.1
Formation energy without anion corrections, meV/atom: 453
Volume, Å³/cell: 93.32

Geometry as POSCAR:
```
CdTeP2
1.0
-1.8591 3.4675 -1.2631
-3.2769 -1.2084 1.5060
1.3961 2.6213 5.1412
Cd P Te
1 2 1
Direct
0.5000 0.5000 0.7500
0.0000 0.0000 0.9273
0.0000 0.0000 0.5727
0.5000 0.5000 0.2500
```

(13)
First-principles (PBE) data for an optimized crystal structure of CdTe3P, as listed in Alexandria.

Properties
Crystal system: cubic
DOS at the Fermi energy, states/eV per cell: 5.25
M_tot, Bohr magnetons per cell: 1.240
Electronic total energy, eV per cell: -10.6
Formation energy without anion corrections, meV/atom: 1024
Volume, Å³/cell: 171.27

Geometry as POSCAR:
```
CdTe3P
1.0
-2.2047 -5.0396 0.7629
-0.3139 -0.6954 -5.5007
5.0873 -2.2270 -0.0088
P Te Cd
1 3 1
Direct
0.5000 0.5000 0.5000
0.0000 0.5000 0.0000
0.0000 0.0000 0.5000
0.5000 0.0000 0.0000
0.0000 0.0000 0.0000
```

(14)
First-principles (PBE) data for an optimized crystal structure of CdTeP2, as listed in Alexandria.

Properties
Crystal system: monoclinic
DOS at the Fermi energy, states/eV per cell: 1.65
M_tot, Bohr magnetons per cell: 0.000
Electronic total energy, eV per cell: -13.4
Formation energy without anion corrections, meV/atom: 369
Volume, Å³/cell: 87.90

Geometry as POSCAR:
```
CdTeP2
1.0
3.8994 0.0000 0.0000
0.0000 2.9340 0.0013
0.0000 -1.6520 7.6823
Cd P Te
1 2 1
Direct
0.5000 0.7500 0.7500
0.0000 0.1151 0.9875
0.0000 0.3849 0.5125
0.5000 0.2500 0.2500
```

(15)
First-principles (PBE) data for an optimized crystal structure of CdTeP2, as listed in Alexandria.

Properties
Crystal system: tetragonal
DOS at the Fermi energy, states/eV per cell: 1.81
M_tot, Bohr magnetons per cell: 0.000
Electronic total energy, eV per cell: -13.8
Formation energy without anion corrections, meV/atom: 270
Volume, Å³/cell: 87.33

Geometry as POSCAR:
```
CdTeP2
1.0
4.8428 -0.0122 0.0017
-1.5304 4.5947 0.0017
1.6529 2.2867 3.9299
Cd P Te
1 2 1
Direct
0.0000 0.5000 0.5000
0.0000 0.0000 0.0000
0.5000 0.5000 0.0000
0.5000 0.0000 0.5000
```

(16)
First-principles (PBE) data for an optimized crystal structure of CdTeP2, as listed in Alexandria.

Properties
Crystal system: tetragonal
DOS at the Fermi energy, states/eV per cell: 2.81
M_tot, Bohr magnetons per cell: 0.000
Electronic total energy, eV per cell: -12.6
Formation energy without anion corrections, meV/atom: 578
Volume, Å³/cell: 91.26

Geometry as POSCAR:
```
CdTeP2
1.0
-1.7127 -5.2586 -3.9241
-4.1751 -5.2667 0.9027
0.8998 6.7048 0.4703
Cd P Te
1 2 1
Direct
0.7500 0.2500 0.5000
0.0000 0.0000 0.0000
0.2500 0.7500 0.5000
0.5000 0.5000 0.0000
```

(17)
First-principles (PBE) data for an optimized crystal structure of Cd3TeP, as listed in Alexandria.

Properties
Crystal system: cubic
DOS at the Fermi energy, states/eV per cell: 3.97
M_tot, Bohr magnetons per cell: 0.682
Electronic total energy, eV per cell: -7.4
Formation energy without anion corrections, meV/atom: 789
Volume, Å³/cell: 173.51

Geometry as POSCAR:
```
Cd3TeP
1.0
5.5776 0.0000 0.0000
0.0000 5.5776 0.0000
0.0000 0.0000 5.5776
P Te Cd
1 1 3
Direct
0.5000 0.5000 0.5000
0.0000 0.0000 0.0000
0.0000 0.5000 0.0000
0.0000 0.0000 0.5000
0.5000 0.0000 0.0000
```

(18)
First-principles (PBE) data for an optimized crystal structure of CdTe2P, as listed in Alexandria.

Properties
Crystal system: monoclinic
DOS at the Fermi energy, states/eV per cell: 1.55
M_tot, Bohr magnetons per cell: 0.000
Electronic total energy, eV per cell: -11.8
Formation energy without anion corrections, meV/atom: 203
Volume, Å³/cell: 106.87

Geometry as POSCAR:
```
CdTe2P
1.0
-7.4144 -0.1670 -4.6471
4.4294 -4.3172 2.2051
-0.5893 -1.2332 2.7362
Cd P Te
1 1 2
Direct
0.0000 0.5000 0.5000
0.5000 0.5000 0.0000
0.0000 0.0000 0.0000
0.5000 0.0000 0.5000
```

(19)
First-principles (PBE) data for an optimized crystal structure of CdTeP2, as listed in Alexandria.

Properties
Crystal system: cubic
DOS at the Fermi energy, states/eV per cell: 1.97
M_tot, Bohr magnetons per cell: 0.000
Electronic total energy, eV per cell: -12.5
Formation energy without anion corrections, meV/atom: 600
Volume, Å³/cell: 80.92

Geometry as POSCAR:
```
CdTeP2
1.0
-3.4893 -3.3165 0.6294
-4.5158 0.9062 -1.5352
-1.7904 -2.3956 -3.8244
P Te Cd
2 1 1
Direct
0.2500 0.2500 0.2500
0.7500 0.7500 0.7500
0.5000 0.5000 0.5000
0.0000 0.0000 0.0000
```

(20)
First-principles (PBE) data for an optimized crystal structure of CdTe2P, as listed in Alexandria.

Properties
Crystal system: orthorhombic
DOS at the Fermi energy, states/eV per cell: 1.26
M_tot, Bohr magnetons per cell: 0.000
Electronic total energy, eV per cell: -12.2
Formation energy without anion corrections, meV/atom: 94
Volume, Å³/cell: 106.02

Geometry as POSCAR:
```
CdTe2P
1.0
4.1495 0.0000 0.0000
0.0000 5.2118 0.0348
0.0000 1.7361 4.9139
Cd P Te
1 1 2
Direct
0.5000 0.2500 0.2500
0.5000 0.7500 0.7500
0.0000 0.9785 0.9785
0.0000 0.5215 0.5215
```